# KAcMgO3, relaxed, DFT PBE
# E_tot in eV per atom: -6.0840
# ΔE_f (raw) in eV/atom: -2.47
# Symmetry: P2_1/m (11)
data_KAcMgO3
_cell_length_a 7.673
_cell_length_b 3.815
_cell_length_c 8.787
_cell_angle_alpha 90.00
_cell_angle_beta 99.49
_cell_angle_gamma 90.00
_symmetry_space_group_name_H-M 'P 1'
_symmetry_Int_Tables_number 1
_symmetry_space_group_name_Hall 'P 1'
loop_
_atom_site_label
_atom_site_type_symbol
_atom_site_fract_x
_atom_site_fract_y
_atom_site_fract_z
K1 K 0.152 0.250 0.155
K2 K 0.848 0.750 0.845
Ac1 Ac 0.356 0.750 0.835
Ac2 Ac 0.644 0.250 0.165
Mg1 Mg 0.073 0.250 0.604
Mg2 Mg 0.927 0.750 0.396
O1 O 0.136 0.250 0.832
O2 O 0.143 0.750 0.558
O3 O 0.427 0.750 0.119
O4 O 0.573 0.250 0.881
O5 O 0.857 0.250 0.442
O6 O 0.864 0.750 0.168